1.
Material: AcPrDy2Tl4
Method: DFT, PBE
State: relaxed

Cell lengths 9.629, 9.629, 9.629 Å; angles 33.47, 33.47, 33.47 degrees
Fractional positions:
Ac 0.000 0.000 0.000
Pr 0.500 0.500 0.500
Dy 0.249 0.249 0.249
Dy 0.751 0.751 0.751
Tl 0.127 0.127 0.127
Tl 0.378 0.378 0.378
Tl 0.622 0.622 0.622
Tl 0.873 0.873 0.873

Results
density: 10.37 g/cm3
energy relative to the elements: -0.33 eV per atom

=====

2.
Material: AcPrDyTl
Method: DFT, PBE
State: relaxed

Cell lengths 5.695, 5.695, 5.695 Å; angles 60.00, 60.00, 60.00 degrees
Fractional positions:
Ac 0.000 0.000 0.000
Pr 0.250 0.250 0.250
Dy 0.750 0.750 0.750
Tl 0.500 0.500 0.500

Results
density: 9.34 g/cm3
energy relative to the elements: 0.01 eV per atom

=====

3.
Material: AcPr2DyTl2
Method: DFT, PBE
State: relaxed

Cell lengths 4.923, 9.662, 8.614 Å; angles 90.00, 90.00, 90.00 degrees
Fractional positions:
Ac 0.000 0.082 0.000
Ac 0.000 0.918 0.500
Pr 0.000 0.325 0.385
Pr 0.000 0.675 0.885
Pr 0.500 0.420 0.052
Pr 0.500 0.580 0.552
Dy 0.500 0.188 0.665
Dy 0.500 0.812 0.165
Tl 0.000 0.370 0.760
Tl 0.000 0.630 0.260
Tl 0.500 0.122 0.291
Tl 0.500 0.878 0.791

Results
density: 8.75 g/cm3
energy relative to the elements: -0.25 eV per atom

=====

4.
Material: AcPrDy2Tm4
Method: DFT, PBE
State: relaxed

Cell lengths 9.602, 9.602, 9.602 Å; angles 138.04, 103.49, 91.33 degrees
Fractional positions:
Ac 0.000 0.000 0.000
Ac 0.500 0.000 0.500
Pr 0.500 0.000 0.000
Pr 0.500 0.500 0.500
Dy 0.000 0.000 0.500
Dy 0.000 0.500 0.000
Dy 0.000 0.500 0.500
Dy 0.500 0.500 0.000
Tm 0.236 0.741 0.495
Tm 0.245 0.258 0.513
Tm 0.245 0.733 0.987
Tm 0.254 0.259 0.995
Tm 0.746 0.741 0.005
Tm 0.755 0.267 0.013
Tm 0.755 0.742 0.487
Tm 0.764 0.259 0.505

Results
density: 8.28 g/cm3
energy relative to the elements: 0.45 eV per atom

=====

5.
Material: Ac2PrDyTm
Method: DFT, PBE
State: relaxed

Cell lengths 6.462, 9.004, 6.681 Å; angles 90.00, 90.00, 90.00 degrees
Fractional positions:
Ac 0.250 0.203 0.215
Ac 0.250 0.797 0.215
Ac 0.750 0.203 0.785
Ac 0.750 0.797 0.785
Pr 0.250 0.500 0.920
Pr 0.750 0.500 0.080
Dy 0.250 0.000 0.688
Dy 0.750 0.000 0.312
Tm 0.000 0.500 0.500
Tm 0.500 0.500 0.500

Results
density: 7.91 g/cm3
energy relative to the elements: 0.27 eV per atom

=====

6.
Material: AcPr4DyTm2
Method: DFT, PBE
State: relaxed

Cell lengths 6.347, 6.347, 10.430 Å; angles 114.32, 114.32, 48.40 degrees
Fractional positions:
Ac 0.000 0.000 0.000
Pr 0.247 0.247 0.869
Pr 0.251 0.251 0.378
Pr 0.749 0.749 0.622
Pr 0.753 0.753 0.131
Dy 0.000 0.000 0.500
Tm 0.499 0.499 0.257
Tm 0.501 0.501 0.743

Results
density: 7.65 g/cm3
energy relative to the elements: 0.04 eV per atom